Ba3Tm4O9 at its PBEsol-relaxed geometry, computed with meta-GGA SCAN.

Results
For the total magnetic moment, the calculation gives 0.000 μB per atom. The total energy comes out at -27.4429 eV per atom. As for the crystal system: trigonal. The value obtained for the volume is 16.1 Å³/atom. The raw formation energy is -3564 meV per atom.

a = 5.9925 Å, b = 5.9925 Å, c = 24.8909 Å
α = 90.00°, β = 90.00°, γ = 120.00°
Space group R3 (No. 146, hexagonal axes)
Symmetry-distinct sites (fractional):
Ba 0.0000 0.0000 0.0000
Ba 0.0000 0.0000 0.1637
Ba 0.0000 0.0000 0.5790
Tm 0.0000 0.0000 0.3002
Tm 0.0000 0.0000 0.4246
Tm 0.0000 0.0000 0.7393
Tm 0.0000 0.0000 0.8641
O 0.0141 0.5587 0.0264
O 0.1153 0.3343 0.9153
O 0.1300 0.7843 0.4720